Compound: CaMgTl
Source: Alexandria
Functional: GGA-PBE
Structure: relaxed

Properties
Electronic total energy, eV per atom: -2.19
Space group: No. 107

a b c (Å): 6.460 6.460 6.460
angles (deg): 145.78 145.78 49.17
Positions (direct):
Ca 0.000 0.000 0.000
Mg 0.311 0.311 0.000
Tl 0.677 0.677 0.000

***

Compound: CaMg2Tl5
Source: Alexandria
Functional: GGA-PBE
Structure: relaxed

Properties
Electronic total energy, eV per atom: -2.24
Energy relative to the lowest polymorph listed for this composition, kJ/mol of atoms: 0.0
Space group: No. 107

a b c (Å): 6.594 6.594 6.594
angles (deg): 107.64 107.64 113.20
Positions (direct):
Ca 0.000 0.000 0.000
Mg 0.499 0.999 0.500
Mg 0.999 0.499 0.500
Tl 0.499 0.499 0.000
Tl 0.500 0.500 0.500
Tl 0.500 0.999 0.000
Tl 0.999 0.500 0.000
Tl 0.999 0.999 0.500

***

Compound: Ca8Mg2Tl
Source: Alexandria
Functional: GGA-PBE
Structure: relaxed

Properties
Electronic total energy, eV per atom: -1.98
Energy relative to the lowest polymorph listed for this composition, kJ/mol of atoms: 7.0
Space group: No. 12

a b c (Å): 9.004 9.004 6.011
angles (deg): 100.69 100.69 116.56
Positions (direct):
Ca 0.084 0.322 0.605
Ca 0.215 0.785 0.000
Ca 0.322 0.084 0.605
Ca 0.373 0.373 0.190
Ca 0.627 0.627 0.810
Ca 0.678 0.916 0.395
Ca 0.785 0.215 0.000
Ca 0.916 0.678 0.395
Mg 0.309 0.691 0.500
Mg 0.691 0.309 0.500
Tl 0.000 0.000 0.000

***

Compound: CaMgTl
Source: Alexandria
Functional: GGA-PBE
Structure: relaxed

Properties
Electronic total energy, eV per atom: -2.26
Space group: No. 187

a b c (Å): 5.102 5.102 3.694
angles (deg): 90.00 90.00 120.00
Positions (direct):
Ca 0.000 0.000 0.000
Mg 0.667 0.333 0.500
Tl 0.333 0.667 0.500

***

Compound: Ca3Mg2Tl7
Source: Alexandria
Functional: GGA-PBE
Structure: relaxed

Properties
Electronic total energy, eV per atom: -2.30
Space group: No. 10

a b c (Å): 4.987 4.522 15.921
angles (deg): 90.00 98.52 90.00
Positions (direct):
Ca 0.000 0.000 0.000
Ca 0.313 0.500 0.627
Ca 0.687 0.500 0.373
Mg 0.134 0.000 0.271
Mg 0.866 0.000 0.729
Tl 0.078 0.500 0.154
Tl 0.225 0.000 0.448
Tl 0.416 0.000 0.834
Tl 0.500 0.500 0.000
Tl 0.584 0.000 0.166
Tl 0.775 0.000 0.552
Tl 0.922 0.500 0.846

***

Compound: Ca2Mg3Tl5
Source: Alexandria
Functional: GGA-PBE
Structure: relaxed

Properties
Electronic total energy, eV per atom: -2.20
Space group: No. 72

a b c (Å): 10.144 10.144 10.144
angles (deg): 112.34 79.72 142.97
Positions (direct):
Ca 0.149 0.238 0.387
Ca 0.351 0.738 0.089
Ca 0.649 0.262 0.911
Ca 0.851 0.762 0.613
Mg 0.156 0.923 0.079
Mg 0.250 0.750 0.500
Mg 0.344 0.423 0.767
Mg 0.656 0.577 0.233
Mg 0.750 0.250 0.500
Mg 0.844 0.077 0.921
Tl 0.054 0.750 0.304
Tl 0.074 0.698 0.772
Tl 0.250 0.250 0.000
Tl 0.426 0.198 0.625
Tl 0.446 0.750 0.696
Tl 0.554 0.250 0.304
Tl 0.574 0.802 0.375
Tl 0.750 0.750 0.000
Tl 0.926 0.302 0.228
Tl 0.946 0.250 0.696

***

Compound: CaMg5Tl6
Source: Alexandria
Functional: GGA-PBE
Structure: relaxed

Properties
Electronic total energy, eV per atom: -2.13
Energy relative to the lowest polymorph listed for this composition, kJ/mol of atoms: 0.0
Space group: No. 10

a b c (Å): 5.214 7.445 8.249
angles (deg): 90.00 107.49 90.00
Positions (direct):
Ca 0.000 0.000 0.000
Mg 0.000 0.500 0.000
Mg 0.334 0.500 0.661
Mg 0.335 0.000 0.667
Mg 0.665 0.000 0.333
Mg 0.666 0.500 0.339
Tl 0.168 0.255 0.339
Tl 0.168 0.745 0.339
Tl 0.500 0.268 0.000
Tl 0.500 0.732 0.000
Tl 0.832 0.255 0.661
Tl 0.832 0.745 0.661

***

Compound: CaMgTl
Source: Alexandria
Functional: GGA-PBE
Structure: relaxed

Properties
Electronic total energy, eV per atom: -2.29
Space group: No. 129

a b c (Å): 4.519 4.519 8.298
angles (deg): 90.00 90.00 90.00
Positions (direct):
Ca 0.250 0.250 0.154
Ca 0.750 0.750 0.846
Mg 0.250 0.750 0.500
Mg 0.750 0.250 0.500
Tl 0.250 0.250 0.751
Tl 0.750 0.750 0.249

***

Compound: CaMgTl
Source: Alexandria
Functional: GGA-PBE
Structure: relaxed

Properties
Electronic total energy, eV per atom: -2.26
Space group: No. 51

a b c (Å): 14.932 3.956 8.501
angles (deg): 90.00 90.00 90.00
Positions (direct):
Ca 0.053 0.000 0.238
Ca 0.250 0.000 0.820
Ca 0.447 0.000 0.238
Ca 0.553 0.000 0.762
Ca 0.750 0.000 0.180
Ca 0.947 0.000 0.762
Mg 0.107 0.500 0.568
Mg 0.250 0.500 0.168
Mg 0.393 0.500 0.568
Mg 0.607 0.500 0.432
Mg 0.750 0.500 0.832
Mg 0.893 0.500 0.432
Tl 0.096 0.500 0.932
Tl 0.250 0.000 0.435
Tl 0.404 0.500 0.932
Tl 0.596 0.500 0.068
Tl 0.750 0.000 0.565
Tl 0.904 0.500 0.068

***

Compound: Ca14MgTl
Source: Alexandria
Functional: GGA-PBE
Structure: relaxed

Properties
Electronic total energy, eV per atom: -2.04
Space group: No. 38

a b c (Å): 9.527 8.019 8.019
angles (deg): 89.98 90.00 90.00
Positions (direct):
Ca 0.000 0.000 0.000
Ca 0.000 0.495 0.495
Ca 0.000 0.495 0.999
Ca 0.000 0.999 0.495
Ca 0.268 0.745 0.745
Ca 0.275 0.250 0.744
Ca 0.275 0.744 0.250
Ca 0.282 0.251 0.251
Ca 0.500 0.503 0.990
Ca 0.500 0.990 0.503
Ca 0.718 0.251 0.251
Ca 0.725 0.250 0.744
Ca 0.725 0.744 0.250
Ca 0.732 0.745 0.745
Mg 0.500 0.995 0.995
Tl 0.500 0.502 0.502

***

Compound: CaMgTl3
Source: Alexandria
Functional: GGA-PBE
Structure: relaxed

Properties
Electronic total energy, eV per atom: -2.24
Energy relative to the lowest polymorph listed for this composition, kJ/mol of atoms: 4.5
Space group: No. 194

a b c (Å): 7.476 7.476 6.080
angles (deg): 90.00 90.00 120.00
Positions (direct):
Ca 0.333 0.667 0.250
Ca 0.667 0.333 0.750
Mg 0.000 0.000 0.000
Mg 0.000 0.000 0.500
Tl 0.193 0.385 0.750
Tl 0.193 0.807 0.750
Tl 0.385 0.193 0.250
Tl 0.615 0.807 0.750
Tl 0.807 0.193 0.250
Tl 0.807 0.615 0.250

***

Compound: Ca2MgTl
Source: Alexandria
Functional: GGA-PBE
Structure: relaxed

Properties
Electronic total energy, eV per atom: -2.11
Energy relative to the lowest polymorph listed for this composition, kJ/mol of atoms: 15.9
Space group: No. 216

a b c (Å): 5.496 5.496 5.496
angles (deg): 60.00 60.00 60.00
Positions (direct):
Ca 0.000 0.000 0.000
Ca 0.250 0.250 0.250
Mg 0.750 0.750 0.750
Tl 0.500 0.500 0.500

***

Compound: Ca3Mg4Tl8
Source: Alexandria
Functional: GGA-PBE
Structure: relaxed

Properties
Electronic total energy, eV per atom: -2.31
Space group: No. 225

a b c (Å): 10.481 10.481 10.481
angles (deg): 60.00 60.00 60.00
Positions (direct):
Ca 0.250 0.250 0.750
Ca 0.250 0.750 0.250
Ca 0.250 0.750 0.750
Ca 0.750 0.250 0.250
Ca 0.750 0.250 0.750
Ca 0.750 0.750 0.250
Mg 0.000 0.000 0.000
Mg 0.000 0.000 0.500
Mg 0.000 0.500 0.000
Mg 0.000 0.500 0.500
Mg 0.500 0.000 0.000
Mg 0.500 0.000 0.500
Mg 0.500 0.500 0.000
Mg 0.500 0.500 0.500
Tl 0.103 0.632 0.632
Tl 0.132 0.132 0.132
Tl 0.132 0.132 0.603
Tl 0.132 0.603 0.132
Tl 0.368 0.368 0.368
Tl 0.368 0.368 0.897
Tl 0.368 0.897 0.368
Tl 0.397 0.868 0.868
Tl 0.603 0.132 0.132
Tl 0.632 0.103 0.632
Tl 0.632 0.632 0.103
Tl 0.632 0.632 0.632
Tl 0.868 0.397 0.868
Tl 0.868 0.868 0.397
Tl 0.868 0.868 0.868
Tl 0.897 0.368 0.368

***

Compound: CaMg2Tl2
Source: Alexandria
Functional: GGA-PBE
Structure: relaxed

Properties
Electronic total energy, eV per atom: -2.16
Energy relative to the lowest polymorph listed for this composition, kJ/mol of atoms: 0.0
Space group: No. 139

a b c (Å): 7.417 7.417 7.417
angles (deg): 144.37 144.37 51.28
Positions (direct):
Ca 0.000 0.000 0.000
Mg 0.250 0.750 0.500
Mg 0.750 0.250 0.500
Tl 0.390 0.390 0.000
Tl 0.610 0.610 0.000

***

Compound: CaMgTl
Source: Alexandria
Functional: GGA-PBE
Structure: relaxed

Properties
Electronic total energy, eV per atom: -1.77
Space group: No. 216

a b c (Å): 5.267 5.267 5.267
angles (deg): 60.00 60.00 60.00
Positions (direct):
Ca 0.000 0.000 0.000
Mg 0.250 0.250 0.250
Tl 0.750 0.750 0.750

***

Compound: Ca5Mg2Tl
Source: Alexandria
Functional: GGA-PBE
Structure: relaxed

Properties
Electronic total energy, eV per atom: -2.10
Space group: No. 55

a b c (Å): 7.091 13.696 5.485
angles (deg): 90.00 90.00 90.00
Positions (direct):
Ca 0.000 0.000 0.000
Ca 0.119 0.272 0.000
Ca 0.165 0.605 0.500
Ca 0.335 0.105 0.500
Ca 0.381 0.772 0.000
Ca 0.500 0.500 0.000
Ca 0.619 0.228 0.000
Ca 0.665 0.895 0.500
Ca 0.835 0.395 0.500
Ca 0.881 0.728 0.000
Mg 0.145 0.864 0.500
Mg 0.355 0.364 0.500
Mg 0.645 0.636 0.500
Mg 0.855 0.136 0.500
Tl 0.000 0.500 0.000
Tl 0.500 0.000 0.000

***

Compound: CaMgTl2
Source: Alexandria
Functional: GGA-PBE
Structure: relaxed

Properties
Electronic total energy, eV per atom: -2.27
Energy relative to the lowest polymorph listed for this composition, kJ/mol of atoms: 8.6
Space group: No. 44

a b c (Å): 6.205 6.205 6.205
angles (deg): 139.54 133.18 63.57
Positions (direct):
Ca 0.000 0.000 0.000
Mg 0.741 0.241 0.500
Tl 0.256 0.756 0.500
Tl 0.509 0.509 0.000

***

Compound: CaMg2Tl9
Source: Alexandria
Functional: GGA-PBE
Structure: relaxed

Properties
Electronic total energy, eV per atom: -2.27
Space group: No. 123

a b c (Å): 4.865 4.865 14.358
angles (deg): 90.00 90.00 90.00
Positions (direct):
Ca 0.000 0.000 0.000
Mg 0.000 0.000 0.327
Mg 0.000 0.000 0.673
Tl 0.000 0.500 0.172
Tl 0.000 0.500 0.500
Tl 0.000 0.500 0.828
Tl 0.500 0.000 0.172
Tl 0.500 0.000 0.500
Tl 0.500 0.000 0.828
Tl 0.500 0.500 0.000
Tl 0.500 0.500 0.334
Tl 0.500 0.500 0.666

***

Compound: CaMg4Tl7
Source: Alexandria
Functional: GGA-PBE
Structure: relaxed

Properties
Electronic total energy, eV per atom: -2.15
Energy relative to the lowest polymorph listed for this composition, kJ/mol of atoms: 0.0
Space group: No. 2

a b c (Å): 6.049 6.537 8.538
angles (deg): 104.62 96.42 93.24
Positions (direct):
Ca 0.000 0.000 0.000
Mg 0.203 0.266 0.673
Mg 0.316 0.453 0.337
Mg 0.684 0.547 0.663
Mg 0.797 0.734 0.327
Tl 0.000 0.500 0.000
Tl 0.173 0.744 0.648
Tl 0.308 0.951 0.338
Tl 0.498 0.252 0.010
Tl 0.502 0.748 0.990
Tl 0.692 0.049 0.662
Tl 0.827 0.256 0.352

***

Compound: CaMg3Tl2
Source: Alexandria
Functional: GGA-PBE
Structure: relaxed

Properties
Electronic total energy, eV per atom: -2.07
Energy relative to the lowest polymorph listed for this composition, kJ/mol of atoms: 0.0
Space group: No. 12

a b c (Å): 9.109 9.109 7.925
angles (deg): 109.80 109.80 30.57
Positions (direct):
Ca 0.115 0.115 0.171
Ca 0.885 0.885 0.829
Mg 0.072 0.072 0.690
Mg 0.304 0.304 0.089
Mg 0.367 0.367 0.499
Mg 0.633 0.633 0.501
Mg 0.696 0.696 0.911
Mg 0.928 0.928 0.310
Tl 0.240 0.240 0.682
Tl 0.484 0.484 0.181
Tl 0.516 0.516 0.819
Tl 0.760 0.760 0.318